Material: ReHgTe2
Method: DFT, PBE-GGA
State: relaxed

Summary:
Uncorrected formation energy, eV per atom: 0.241
Density of states at the Fermi level, states/eV/cell: 8.6
Magnetic moment, μB/cell: 0.0
Raw total energy, eV for the cell shown: -54.2
ΔE to the lowest computed polymorph, eV per formula unit: 0.071

a = 3.4001 Å, b = 3.4001 Å, c = 34.3996 Å
α = 90.00°, β = 90.00°, γ = 120.00°
Last column: nearest neighbours and their distance in Å.
Space group R-3m (No. 166, hexagonal axes)
One atom of each set of equivalent atoms:
Re1 0.0000 0.0000 0.0000  6 Te 2.74
Hg1 0.0000 0.0000 0.5000  6 Hg 3.40
Te1 0.0000 0.0000 0.3889  3 Re 2.74